# 1
# GGA-PBE K2NiAuN, relaxed
# Total magnetization   0.326 μB/f.u.
# ΔE_f (raw)   -0.0873 eV per atom
data_K2NiAuN
_space_group_name_H-M_alt 'P 4/m m m'
_space_group_IT_number 123
_space_group_name_Hall '-P 4 2'
_cell_length_a 5.933
_cell_length_b 5.933
_cell_length_c 3.437
_cell_angle_alpha 90.00
_cell_angle_beta 90.00
_cell_angle_gamma 90.00
loop_
_atom_site_label
_atom_site_type_symbol
_atom_site_fract_x
_atom_site_fract_y
_atom_site_fract_z
K1 K 0.000 0.500 0.000
Ni1 Ni 0.000 0.000 0.500
Au1 Au 0.500 0.500 0.500
N1 N 0.000 0.000 0.000

---

# 2
# GGA-PBE KAuN2O, relaxed
# Total magnetization   3.624 μB/f.u.
# ΔE_f (raw)   1.1711 eV per atom
data_KAuN2O
_space_group_name_H-M_alt 'P 4/m m m'
_space_group_IT_number 123
_space_group_name_Hall '-P 4 2'
_cell_length_a 4.125
_cell_length_b 4.125
_cell_length_c 4.632
_cell_angle_alpha 90.00
_cell_angle_beta 90.00
_cell_angle_gamma 90.00
loop_
_atom_site_label
_atom_site_type_symbol
_atom_site_fract_x
_atom_site_fract_y
_atom_site_fract_z
K1 K 0.000 0.000 0.000
Au1 Au 0.500 0.500 0.500
N1 N 0.000 0.500 0.500
O1 O 0.500 0.500 0.000

---

# 3
# GGA-PBE KAuN2O, relaxed
# Total magnetization   1.457 μB/f.u.
# ΔE_f (raw)   2.8115 eV per atom
data_KAuN2O
_space_group_name_H-M_alt 'P 4/m m m'
_space_group_IT_number 123
_space_group_name_Hall '-P 4 2'
_cell_length_a 4.607
_cell_length_b 4.607
_cell_length_c 4.602
_cell_angle_alpha 90.00
_cell_angle_beta 90.00
_cell_angle_gamma 90.00
loop_
_atom_site_label
_atom_site_type_symbol
_atom_site_fract_x
_atom_site_fract_y
_atom_site_fract_z
K1 K 0.000 0.000 0.000
Au1 Au 0.500 0.500 0.500
N1 N 0.000 0.500 0.000
O1 O 0.000 0.000 0.500

---

# 4
# GGA-PBE K2PbAuN, relaxed
# Total magnetization   0.000 μB/f.u.
# ΔE_f (raw)   0.3310 eV per atom
data_K2PbAuN
_space_group_name_H-M_alt 'P 4/m m m'
_space_group_IT_number 123
_space_group_name_Hall '-P 4 2'
_cell_length_a 6.848
_cell_length_b 6.848
_cell_length_c 3.744
_cell_angle_alpha 90.00
_cell_angle_beta 90.00
_cell_angle_gamma 90.00
loop_
_atom_site_label
_atom_site_type_symbol
_atom_site_fract_x
_atom_site_fract_y
_atom_site_fract_z
K1 K 0.000 0.500 0.000
Pb1 Pb 0.000 0.000 0.500
Au1 Au 0.500 0.500 0.000
N1 N 0.500 0.500 0.500

---

Among the records above, which one has the lowest ΔE_f (raw)? K2NiAuN

---

Which value of total magnetization does entry 1 give? 0.326 μB/f.u.

---

Number 4 is which compound? K2PbAuN